GGA-PBE HoScRuRh, optimized geometry; energy relative to the elements = -69.37 kJ per mole of atoms; calculated total energy = -30.41 eV per cell; volume = 72.38 Å³/cell
1.0
4.678 0.000 0.000
2.339 4.051 0.000
2.339 1.350 3.819
Sc Ru Rh Ho
1 1 1 1
Direct
0.000 0.000 0.000
0.750 0.750 0.750
0.250 0.250 0.250
0.500 0.500 0.500